Entry 1:
A relaxed CoTc2As crystal, computed with PBE-GGA.

Cell: 4.2927 4.2927 2.9227 Å, 90.00 90.00 90.00°
With the nearest neighbours (Å) after each atom.
Space group P4/mmm (No. 123)
One atom of each set of equivalent atoms:
Co  0.0000  0.0000  0.0000 (multiplicity 1)  8 Tc 2.60
Tc  0.0000  0.5000  0.5000 (multiplicity 2)  4 As 2.60, 4 Co 2.60
As  0.5000  0.5000  0.0000 (multiplicity 1)  8 Tc 2.60

Calculated values
VASP energy ... -8.058 eV per atom

Entry 2:
A relaxed CoTcAs crystal, computed with PBE-GGA.

Cell: 5.6322 5.6322 5.6322 Å, 90.00 90.00 90.00°
With the nearest neighbours (Å) after each atom.
Space group F-43m (No. 216)
One atom of each set of equivalent atoms:
Co  0.0000  0.0000  0.0000 (multiplicity 4)  4 As 2.44
Tc  0.0000  0.0000  0.5000 (multiplicity 4)  4 As 2.44
As  0.2500  0.2500  0.7500 (multiplicity 4)  4 Co 2.44, 4 Tc 2.44

Calculated values
VASP energy ... -7.262 eV per atom

Entry 3:
A relaxed CoTc2As crystal, computed with PBE-GGA.

Cell: 2.9785 4.2641 8.4281 Å, 90.00 90.00 90.00°
With the nearest neighbours (Å) after each atom.
Space group Imm2 (No. 44)
One atom of each set of equivalent atoms:
Co  0.0000  0.0000  0.0000 (multiplicity 2)  2 As 2.31
Tc  0.0000  0.0000  0.5460 (multiplicity 2)  2 As 2.54, 4 Co 2.63, 2 Tc 2.74
Tc  0.0000  0.5000  0.7736 (multiplicity 2)  4 As 2.60, 4 Tc 2.74-2.87, 4 Co 2.74-2.86
As  0.0000  0.5000  0.2906 (multiplicity 2)  2 Co 2.31, 2 Tc 2.54

Calculated values
VASP energy ... -8.137 eV per atom

Entry 4:
A relaxed CoTcAs crystal, computed with PBE-GGA.

Cell: 2.8958 3.7215 7.5689 Å, 90.00 90.00 90.00°
With the nearest neighbours (Å) after each atom.
Space group Imm2 (No. 44)
One atom of each set of equivalent atoms:
Co  0.0000  0.0000  0.0000 (multiplicity 2)  5 As 2.45-2.71, 5 Tc 2.62-2.63
Tc  0.0000  0.0000  0.6532 (multiplicity 2)  5 As 2.50-2.69, 5 Co 2.62-2.63
As  0.0000  0.0000  0.3233 (multiplicity 2)  5 Co 2.45-2.71, 5 Tc 2.50-2.69

Calculated values
VASP energy ... -7.192 eV per atom